[1]
# VP2, optimized geometry, DFT PBE-GGA
data_VP2
_chemical_formula_sum 'V2 P4'
_space_group_name_H-M_alt 'C 1 2/m 1'
_space_group_IT_number 12
_cell_length_a 4.428
_cell_length_b 4.453
_cell_length_c 4.395
_cell_angle_alpha 90.00
_cell_angle_beta 119.40
_cell_angle_gamma 90.00
loop_
_space_group_symop_operation_xyz
'x,y,z'
'-x,-y,-z'
'-x,y,-z'
'x,-y,z'
'x+1/2,y+1/2,z'
'-x+1/2,-y+1/2,-z'
'-x+1/2,y+1/2,-z'
'x+1/2,-y+1/2,z'
loop_
_atom_site_label
_atom_site_type_symbol
_atom_site_fract_x
_atom_site_fract_y
_atom_site_fract_z
_atom_site_occupancy
V1 V 0.000 0.000 0.000 1
P1 P 0.167 0.500 0.333 1
# DOS at the Fermi energy = 2.81 states/eV/cell
# spin magnetization = 0.0 Bohr magnetons per cell
# calculated density = 4.965 g cm⁻³
# crystal system = monoclinic
# formation energy from the elements = -0.39 eV/atom

[2]
# V3P, optimized geometry, DFT PBE-GGA
data_V3P
_chemical_formula_sum 'V6 P2'
_space_group_name_H-M_alt 'I m m m'
_space_group_IT_number 71
_space_group_name_Hall '-I 2 2'
_cell_length_a 3.174
_cell_length_b 3.984
_cell_length_c 7.993
_cell_angle_alpha 90.00
_cell_angle_beta 90.00
_cell_angle_gamma 90.00
loop_
_atom_site_label
_atom_site_type_symbol
_atom_site_fract_x
_atom_site_fract_y
_atom_site_fract_z
_atom_site_occupancy
V1 V 0.000 0.000 0.000 1
V2 V 0.000 0.500 0.256 1
P1 P 0.000 0.000 0.500 1
# DOS at the Fermi energy = 3.88 states/eV/cell
# spin magnetization = 0.0 Bohr magnetons per cell
# calculated density = 6.040 g cm⁻³
# crystal system = orthorhombic
# formation energy from the elements = -0.43 eV/atom

[3]
# V3P2, optimized geometry, DFT PBE-GGA
data_V3P2
_chemical_formula_sum 'V12 P8'
_space_group_name_H-M_alt 'P n m a'
_space_group_IT_number 62
_cell_length_a 9.172
_cell_length_b 3.226
_cell_length_c 8.823
_cell_angle_alpha 90.00
_cell_angle_beta 90.00
_cell_angle_gamma 90.00
loop_
_space_group_symop_operation_xyz
'x,y,z'
'-x,-y,-z'
'-x+1/2,-y,z+1/2'
'x+1/2,y,-z+1/2'
'x+1/2,-y+1/2,-z+1/2'
'-x+1/2,y+1/2,z+1/2'
'-x,y+1/2,-z'
'x,-y+1/2,z'
loop_
_atom_site_label
_atom_site_type_symbol
_atom_site_fract_x
_atom_site_fract_y
_atom_site_fract_z
_atom_site_occupancy
V1 V 0.050 0.250 0.122 1
V2 V 0.121 0.750 0.574 1
V3 V 0.207 0.250 0.790 1
P1 P 0.039 0.750 0.323 1
P2 P 0.199 0.750 0.994 1
# DOS at the Fermi energy = 15.19 states/eV/cell
# spin magnetization = 0.0 Bohr magnetons per cell
# calculated density = 5.464 g cm⁻³
# crystal system = orthorhombic
# formation energy from the elements = -0.81 eV/atom

[4]
# VP4, optimized geometry, DFT PBE-GGA
data_VP4
_chemical_formula_sum 'V4 P16'
_space_group_name_H-M_alt 'C 1 2/c 1'
_space_group_IT_number 15
_cell_length_a 5.262
_cell_length_b 11.006
_cell_length_c 5.843
_cell_angle_alpha 90.00
_cell_angle_beta 110.52
_cell_angle_gamma 90.00
loop_
_space_group_symop_operation_xyz
'x,y,z'
'-x,-y,-z'
'-x,y,-z+1/2'
'x,-y,z+1/2'
'x+1/2,y+1/2,z'
'-x+1/2,-y+1/2,-z'
'-x+1/2,y+1/2,-z+1/2'
'x+1/2,-y+1/2,z+1/2'
loop_
_atom_site_label
_atom_site_type_symbol
_atom_site_fract_x
_atom_site_fract_y
_atom_site_fract_z
_atom_site_occupancy
V1 V 0.000 0.062 0.250 1
P1 P 0.225 0.410 0.323 1
P2 P 0.226 0.278 0.810 1
# DOS at the Fermi energy = 12.91 states/eV/cell
# spin magnetization = 0.0 Bohr magnetons per cell
# energy relative to the lowest polymorph listed for this composition = 0.000 eV per atom
# calculated density = 3.664 g cm⁻³
# crystal system = monoclinic
# formation energy from the elements = -0.34 eV/atom

[5]
# V4P, optimized geometry, DFT PBE-GGA
data_V4P
_chemical_formula_sum 'V4 P1'
_space_group_name_H-M_alt 'P m -3 m'
_space_group_IT_number 221
_space_group_name_Hall '-P 4 2 3'
_cell_length_a 4.311
_cell_length_b 4.311
_cell_length_c 4.311
_cell_angle_alpha 90.00
_cell_angle_beta 90.00
_cell_angle_gamma 90.00
loop_
_atom_site_label
_atom_site_type_symbol
_atom_site_fract_x
_atom_site_fract_y
_atom_site_fract_z
_atom_site_occupancy
V1 V 0.000 0.000 0.000 1
V2 V 0.000 0.500 0.500 1
P1 P 0.500 0.500 0.500 1
# DOS at the Fermi energy = 7.33 states/eV/cell
# spin magnetization = 0.4 Bohr magnetons per cell
# energy relative to the lowest polymorph listed for this composition = 0.654 eV per atom
# calculated density = 4.866 g cm⁻³
# crystal system = cubic
# formation energy from the elements = 0.35 eV/atom

[6]
# VP4, optimized geometry, DFT PBE-GGA
data_VP4
_chemical_formula_sum 'V2 P8'
_space_group_name_H-M_alt 'P 1 21/c 1'
_space_group_IT_number 14
_cell_length_a 4.834
_cell_length_b 4.803
_cell_length_c 7.400
_cell_angle_alpha 90.00
_cell_angle_beta 98.56
_cell_angle_gamma 90.00
loop_
_space_group_symop_operation_xyz
'x,y,z'
'-x,-y,-z'
'-x,y+1/2,-z+1/2'
'x,-y+1/2,z+1/2'
loop_
_atom_site_label
_atom_site_type_symbol
_atom_site_fract_x
_atom_site_fract_y
_atom_site_fract_z
_atom_site_occupancy
V1 V 0.000 0.000 0.000 1
P1 P 0.221 0.200 0.749 1
P2 P 0.385 0.635 0.091 1
# DOS at the Fermi energy = 6.10 states/eV/cell
# spin magnetization = 5.2 Bohr magnetons per cell
# energy relative to the lowest polymorph listed for this composition = 0.100 eV per atom
# calculated density = 3.418 g cm⁻³
# crystal system = monoclinic
# formation energy from the elements = -0.24 eV/atom

[7]
# VP2, optimized geometry, DFT PBE-GGA
data_VP2
_chemical_formula_sum 'V4 P8'
_space_group_name_H-M_alt 'C 1 2/m 1'
_space_group_IT_number 12
_cell_length_a 8.460
_cell_length_b 3.107
_cell_length_c 7.170
_cell_angle_alpha 90.00
_cell_angle_beta 119.19
_cell_angle_gamma 90.00
loop_
_space_group_symop_operation_xyz
'x,y,z'
'-x,-y,-z'
'-x,y,-z'
'x,-y,z'
'x+1/2,y+1/2,z'
'-x+1/2,-y+1/2,-z'
'-x+1/2,y+1/2,-z'
'x+1/2,-y+1/2,z'
loop_
_atom_site_label
_atom_site_type_symbol
_atom_site_fract_x
_atom_site_fract_y
_atom_site_fract_z
_atom_site_occupancy
V1 V 0.156 0.000 0.198 1
P1 P 0.100 0.500 0.901 1
P2 P 0.142 0.000 0.530 1
# DOS at the Fermi energy = 1.78 states/eV/cell
# spin magnetization = 0.0 Bohr magnetons per cell
# calculated density = 4.558 g cm⁻³
# crystal system = monoclinic
# formation energy from the elements = -0.61 eV/atom

[8]
# V5P3, optimized geometry, DFT PBE-GGA
data_V5P3
_chemical_formula_sum 'V20 P12'
_space_group_name_H-M_alt 'P n m a'
_space_group_IT_number 62
_cell_length_a 9.563
_cell_length_b 6.964
_cell_length_c 6.172
_cell_angle_alpha 90.00
_cell_angle_beta 90.00
_cell_angle_gamma 90.00
loop_
_space_group_symop_operation_xyz
'x,y,z'
'-x,-y,-z'
'-x+1/2,-y,z+1/2'
'x+1/2,y,-z+1/2'
'x+1/2,-y+1/2,-z+1/2'
'-x+1/2,y+1/2,z+1/2'
'-x,y+1/2,-z'
'x,-y+1/2,z'
loop_
_atom_site_label
_atom_site_type_symbol
_atom_site_fract_x
_atom_site_fract_y
_atom_site_fract_z
_atom_site_occupancy
V1 V 0.006 0.250 0.021 1
V2 V 0.088 0.053 0.681 1
V3 V 0.199 0.750 0.343 1
V4 V 0.233 0.250 0.318 1
P1 P 0.008 0.750 0.593 1
P2 P 0.172 0.506 0.057 1
# DOS at the Fermi energy = 19.45 states/eV/cell
# spin magnetization = 0.0 Bohr magnetons per cell
# energy relative to the lowest polymorph listed for this composition = 0.008 eV per atom
# calculated density = 5.617 g cm⁻³
# crystal system = orthorhombic
# formation energy from the elements = -0.78 eV/atom

[9]
# V2PW, optimized geometry, DFT PBE-GGA
data_V2PW
_chemical_formula_sum 'V4 P2 W2'
_space_group_name_H-M_alt 'P 1 21 1'
_space_group_IT_number 4
_cell_length_a 4.734
_cell_length_b 5.008
_cell_length_c 4.782
_cell_angle_alpha 90.00
_cell_angle_beta 103.11
_cell_angle_gamma 90.00
loop_
_space_group_symop_operation_xyz
'x,y,z'
'-x,y+1/2,-z'
loop_
_atom_site_label
_atom_site_type_symbol
_atom_site_fract_x
_atom_site_fract_y
_atom_site_fract_z
_atom_site_occupancy
V1 V 0.019 0.000 0.019 1
V2 V 0.140 0.272 0.543 1
P1 P 0.339 0.693 0.349 1
W1 W 0.459 0.773 0.863 1
# DOS at the Fermi energy = 5.94 states/eV/cell
# spin magnetization = 0.0 Bohr magnetons per cell
# calculated density = 9.525 g cm⁻³
# crystal system = monoclinic
# formation energy from the elements = -0.41 eV/atom

[10]
# VPW3, optimized geometry, DFT PBE-GGA
data_VPW3
_chemical_formula_sum 'V1 P1 W3'
_space_group_name_H-M_alt 'P m -3 m'
_space_group_IT_number 221
_space_group_name_Hall '-P 4 2 3'
_cell_length_a 4.550
_cell_length_b 4.550
_cell_length_c 4.550
_cell_angle_alpha 90.00
_cell_angle_beta 90.00
_cell_angle_gamma 90.00
loop_
_atom_site_label
_atom_site_type_symbol
_atom_site_fract_x
_atom_site_fract_y
_atom_site_fract_z
_atom_site_occupancy
V1 V 0.000 0.000 0.000 1
P1 P 0.500 0.500 0.500 1
W1 W 0.000 0.000 0.500 1
# DOS at the Fermi energy = 6.18 states/eV/cell
# spin magnetization = 0.0 Bohr magnetons per cell
# energy relative to the lowest polymorph listed for this composition = 0.983 eV per atom
# calculated density = 11.166 g cm⁻³
# crystal system = cubic
# formation energy from the elements = 1.90 eV/atom

[11]
# V2PW, optimized geometry, DFT PBE-GGA
data_V2PW
_chemical_formula_sum 'V2 P1 W1'
_space_group_name_H-M_alt 'P 4/m m m'
_space_group_IT_number 123
_space_group_name_Hall '-P 4 2'
_cell_length_a 3.185
_cell_length_b 3.185
_cell_length_c 5.359
_cell_angle_alpha 90.00
_cell_angle_beta 90.00
_cell_angle_gamma 90.00
loop_
_atom_site_label
_atom_site_type_symbol
_atom_site_fract_x
_atom_site_fract_y
_atom_site_fract_z
_atom_site_occupancy
V1 V 0.000 0.000 0.228 1
P1 P 0.500 0.500 0.000 1
W1 W 0.500 0.500 0.500 1
# DOS at the Fermi energy = 3.05 states/eV/cell
# spin magnetization = 0.0 Bohr magnetons per cell
# calculated density = 9.676 g cm⁻³
# crystal system = tetragonal
# formation energy from the elements = -0.32 eV/atom

[12]
# V2PW, optimized geometry, DFT PBE-GGA
data_V2PW
_chemical_formula_sum 'V4 P2 W2'
_space_group_name_H-M_alt 'P 1'
_space_group_IT_number 1
_cell_length_a 4.760
_cell_length_b 4.782
_cell_length_c 5.059
_cell_angle_alpha 89.17
_cell_angle_beta 88.98
_cell_angle_gamma 76.60
loop_
_space_group_symop_operation_xyz
'x,y,z'
loop_
_atom_site_label
_atom_site_type_symbol
_atom_site_fract_x
_atom_site_fract_y
_atom_site_fract_z
_atom_site_occupancy
V1 V 0.000 0.000 0.000 1
V2 V 0.142 0.475 0.219 1
V3 V 0.484 0.118 0.722 1
V4 V 0.634 0.553 0.280 1
P1 P 0.374 0.637 0.798 1
P2 P 0.526 0.070 0.238 1
W1 W 0.020 0.993 0.488 1
W2 W 0.895 0.517 0.747 1
# DOS at the Fermi energy = 5.83 states/eV/cell
# spin magnetization = 0.0 Bohr magnetons per cell
# calculated density = 9.390 g cm⁻³
# crystal system = triclinic
# formation energy from the elements = -0.28 eV/atom